Compound: TbNd2Si2
Source: the Alexandria database
Functional: GGA-PBE
Structure: optimized geometry

POSCAR file:
```
TbNd2Si2
1.0
7.644 0.000 0.000
0.000 7.644 0.000
0.000 0.000 4.385
Tb Nd Si
2 4 4
Cartesian
0.000 0.000 0.000
3.822 3.822 0.000
1.355 2.467 2.193
2.467 6.289 2.193
5.177 1.355 2.193
6.289 5.177 2.193
0.868 4.690 0.000
2.954 0.868 0.000
4.690 6.776 0.000
6.776 2.954 0.000
```

Properties
formation energy from raw total energies: -0.677 eV per atom
E: -5.68 eV/atom
V: 25.6 Å³/atom
energy relative to the lowest polymorph listed for this composition: 0 meV per atom


Compound: LaErN2
Source: the Alexandria database
Functional: GGA-PBE
Structure: optimized geometry

POSCAR file:
```
LaErN2
1.0
3.507 0.000 0.000
-1.754 3.037 0.000
0.000 0.000 6.200
La Er N
1 1 2
Cartesian
0.000 0.000 0.000
0.000 0.000 3.100
0.000 2.025 4.544
1.754 1.012 1.656
```

Properties
formation energy from raw total energies: -1.183 eV per atom
E: -7.72 eV/atom
V: 16.5 Å³/atom


Compound: Pm2Nd4Dy2Tm
Source: the Alexandria database
Functional: GGA-PBE
Structure: optimized geometry

POSCAR file:
```
Pm2Nd4Dy2Tm
1.0
7.700 -2.566 0.000
7.700 2.566 0.000
-2.573 0.000 7.653
Pm Nd Dy Tm
2 4 2 1
Cartesian
1.280 0.000 1.303
11.547 0.000 6.350
1.279 0.000 6.355
6.419 0.000 1.297
6.408 0.000 6.356
11.548 0.000 1.297
3.851 0.000 3.827
8.976 0.000 3.826
-1.287 0.000 3.826
```

Properties
E: -4.67 eV/atom
ΔE_f: 0.020 eV/atom
V: 33.6 Å³/atom


Compound: RbHoScBr6
Source: the Alexandria database
Functional: GGA-PBE
Structure: optimized geometry

POSCAR file:
```
RbHoScBr6
1.0
7.138 0.000 0.000
-3.569 6.181 0.000
0.000 0.000 15.723
Rb Ho Sc Br
2 2 2 12
Cartesian
0.000 0.000 0.000
0.000 0.000 7.861
0.000 4.121 3.931
3.569 2.060 11.792
0.000 4.121 11.792
3.569 2.060 3.931
-1.285 2.291 10.168
-2.227 3.923 13.416
1.285 2.291 13.416
-0.942 6.148 10.168
2.626 0.033 2.306
1.342 2.258 5.555
2.227 3.923 10.168
0.943 6.148 13.416
4.511 0.033 5.555
2.284 3.890 2.306
5.796 2.258 2.306
4.853 3.890 5.555
```

Properties
formation energy from raw total energies: -1.716 eV per atom
E: -4.15 eV/atom
V: 38.5 Å³/atom


Compound: Pm6ErPb10
Source: the Alexandria database
Functional: GGA-PBE
Structure: optimized geometry

POSCAR file:
```
Pm6ErPb10
1.0
9.530 0.000 0.000
-4.765 8.253 0.000
0.000 0.000 6.567
Pm Er Pb
6 1 10
Cartesian
-1.852 3.209 1.731
-2.913 5.045 4.837
3.705 0.000 1.731
1.852 3.209 4.837
5.825 0.000 4.837
2.913 5.045 1.731
0.000 0.000 3.284
-1.230 2.131 5.221
-3.535 6.122 1.346
2.461 0.000 5.221
1.230 2.131 1.346
0.000 5.502 0.000
0.000 5.502 3.284
4.765 2.751 0.000
4.765 2.751 3.284
7.069 0.000 1.346
3.535 6.122 5.221
```

Properties
E: -4.53 eV/atom
ΔE_f: -0.400 eV/atom
V: 30.4 Å³/atom


Compound: Nd6Ge2As3S
Source: the Alexandria database
Functional: GGA-PBE
Structure: optimized geometry

POSCAR file:
```
Nd6Ge2As3S
1.0
9.264 -2.112 0.000
9.264 2.112 0.000
-1.950 0.000 8.319
Nd Ge As S
6 2 3 1
Cartesian
-0.485 0.000 2.072
17.064 0.000 6.247
5.387 0.000 3.444
4.418 0.000 7.652
12.161 0.000 0.667
11.192 0.000 4.875
2.425 0.000 2.761
14.154 0.000 5.559
1.439 0.000 6.942
8.290 0.000 4.160
15.141 0.000 1.377
9.264 0.000 0.000
```

Properties
formation energy from raw total energies: -1.351 eV per atom
E: -6.01 eV/atom
V: 27.1 Å³/atom


Compound: La2Pr2NdHo
Source: the Alexandria database
Functional: GGA-PBE
Structure: optimized geometry

POSCAR file:
```
La2Pr2NdHo
1.0
7.189 0.000 0.000
0.000 5.836 0.000
0.000 0.000 10.084
La Pr Nd Ho
4 4 2 2
Cartesian
0.000 0.000 0.000
1.797 2.918 1.766
3.594 0.000 0.000
5.392 2.918 8.318
1.797 0.000 3.354
1.797 2.918 8.421
5.392 0.000 6.730
5.392 2.918 1.663
1.797 0.000 6.650
5.392 0.000 3.434
0.000 2.918 5.042
3.594 2.918 5.042
```

Properties
E: -4.75 eV/atom
ΔE_f: 0.048 eV/atom
V: 35.3 Å³/atom


Compound: FeNi14Sb
Source: the Alexandria database
Functional: GGA-PBE
Structure: optimized geometry

POSCAR file:
```
FeNi14Sb
1.0
5.089 0.000 0.000
0.000 5.089 0.000
0.000 0.000 7.074
Fe Ni Sb
1 14 1
Cartesian
0.000 0.000 0.000
0.000 0.000 3.537
0.000 2.544 0.000
0.000 2.544 3.537
1.244 1.244 1.824
1.244 1.244 5.250
1.244 3.844 1.824
1.244 3.844 5.250
2.544 0.000 0.000
2.544 0.000 3.537
2.544 2.544 3.537
3.844 1.244 1.824
3.844 1.244 5.250
3.844 3.844 1.824
3.844 3.844 5.250
2.544 2.544 0.000
```

Properties
formation energy from raw total energies: -0.027 eV per atom
E: -5.87 eV/atom
V: 11.4 Å³/atom


Compound: NbAgSb2
Source: the Alexandria database
Functional: GGA-PBE
Structure: optimized geometry

POSCAR file:
```
NbAgSb2
1.0
-3.209 3.209 6.193
3.209 -3.209 6.193
3.209 3.209 -6.193
Nb Ag Sb
2 2 4
Cartesian
0.000 0.000 0.000
0.000 3.209 3.096
3.209 0.000 3.096
0.000 0.000 6.193
4.813 1.520 -1.548
1.520 1.604 1.548
-1.604 1.688 4.645
1.688 1.604 7.741
```

Properties
formation energy from raw total energies: 0.439 eV per atom
E: -4.85 eV/atom
V: 31.9 Å³/atom


Compound: CaGaIrI2
Source: the Alexandria database
Functional: GGA-PBE
Structure: optimized geometry

POSCAR file:
```
CaGaIrI2
1.0
5.618 0.000 0.000
0.000 5.618 0.000
0.000 0.000 4.748
Ca Ga Ir I
1 1 1 2
Cartesian
0.000 0.000 0.000
2.809 2.809 0.000
2.809 2.809 2.374
0.000 2.809 2.374
2.809 0.000 2.374
```

Properties
formation energy from raw total energies: -0.167 eV per atom
E: -3.57 eV/atom
V: 30.0 Å³/atom


Compound: FeSe3
Source: the Alexandria database
Functional: GGA-PBE
Structure: optimized geometry

POSCAR file:
```
FeSe3
1.0
4.786 0.000 0.000
0.000 3.529 0.000
-2.375 0.000 4.376
Fe Se
1 3
Cartesian
0.000 0.000 0.000
0.003 1.764 1.610
2.393 0.000 0.000
2.408 1.764 2.766
```

Properties
formation energy from raw total energies: -0.022 eV per atom
E: -4.75 eV/atom
V: 18.5 Å³/atom


Compound: SrZn2BiSb
Source: the Alexandria database
Functional: GGA-PBE
Structure: optimized geometry

POSCAR file:
```
SrZn2BiSb
1.0
5.615 0.000 0.000
0.000 5.615 0.000
0.000 0.000 6.315
Sr Zn Bi Sb
1 2 1 1
Cartesian
0.000 0.000 0.000
0.000 2.808 0.000
2.808 0.000 0.000
0.000 0.000 3.158
2.808 2.808 3.158
```

Properties
formation energy from raw total energies: 0.758 eV per atom
E: -1.69 eV/atom
V: 39.8 Å³/atom


Compound: Ho2Tm3Cu2
Source: the Alexandria database
Functional: GGA-PBE
Structure: optimized geometry

POSCAR file:
```
Ho2Tm3Cu2
1.0
6.183 -1.782 0.000
6.183 1.782 0.000
-4.052 0.000 7.956
Ho Tm Cu
2 3 2
Cartesian
0.651 0.000 2.492
7.663 0.000 5.464
4.540 0.000 0.449
4.157 0.000 3.978
3.774 0.000 7.507
-0.855 0.000 5.816
9.169 0.000 2.140
```

Properties
E: -4.53 eV/atom
ΔE_f: -0.134 eV/atom
V: 25.0 Å³/atom
energy relative to the lowest polymorph listed for this composition: 0 meV per atom


Compound: Tb3ZnO
Source: the Alexandria database
Functional: GGA-PBE
Structure: optimized geometry

POSCAR file:
```
Tb3ZnO
1.0
4.746 0.000 0.000
0.000 4.746 0.000
0.000 0.000 4.746
Tb Zn O
3 1 1
Cartesian
0.000 0.000 2.373
0.000 2.373 0.000
2.373 0.000 0.000
2.373 2.373 2.373
0.000 0.000 0.000
```

Properties
formation energy from raw total energies: -1.274 eV per atom
E: -5.30 eV/atom
V: 21.4 Å³/atom


Compound: RbSnAs2Br
Source: the Alexandria database
Functional: GGA-PBE
Structure: optimized geometry

POSCAR file:
```
RbSnAs2Br
1.0
5.301 0.000 0.000
0.000 5.301 0.000
0.000 0.000 6.284
Rb Sn As Br
1 1 2 1
Cartesian
0.000 0.000 0.000
2.650 2.650 3.142
0.000 2.650 3.142
2.650 0.000 3.142
2.650 2.650 0.000
```

Properties
formation energy from raw total energies: -0.065 eV per atom
E: -3.25 eV/atom
V: 35.3 Å³/atom
energy relative to the lowest polymorph listed for this composition: 0 meV per atom


Compound: SiSn3Pt
Source: the Alexandria database
Functional: GGA-PBE
Structure: optimized geometry

POSCAR file:
```
SiSn3Pt
1.0
5.202 0.000 0.000
0.000 5.202 0.000
0.000 0.000 5.202
Si Sn Pt
1 3 1
Cartesian
0.000 0.000 0.000
0.000 2.601 2.601
2.601 0.000 2.601
2.601 2.601 0.000
2.601 2.601 2.601
```

Properties
formation energy from raw total energies: 0.405 eV per atom
E: -4.29 eV/atom
V: 28.2 Å³/atom
energy relative to the lowest polymorph listed for this composition: 0 meV per atom


Compound: Tl2RuPbCl8
Source: the Alexandria database
Functional: GGA-PBE
Structure: optimized geometry

POSCAR file:
```
Tl2RuPbCl8
1.0
6.761 0.000 0.000
0.149 6.936 0.000
0.079 0.072 8.327
Tl Ru Pb Cl
2 1 1 8
Cartesian
0.042 0.021 1.946
6.946 6.987 6.381
3.455 3.468 0.000
3.494 3.504 4.163
1.811 5.807 4.170
1.979 2.728 1.720
2.044 2.739 6.647
2.486 5.591 8.295
4.502 1.417 0.032
4.945 4.269 1.679
5.009 4.280 6.607
5.178 1.201 4.157
```

Properties
formation energy from raw total energies: -0.815 eV per atom
E: -3.52 eV/atom
V: 32.5 Å³/atom


Compound: TbPmNd2Se4
Source: the Alexandria database
Functional: GGA-PBE
Structure: optimized geometry

POSCAR file:
```
TbPmNd2Se4
1.0
7.278 0.000 0.000
0.000 4.135 0.000
-2.356 0.000 6.911
Tb Pm Nd Se
1 1 2 4
Cartesian
0.000 0.000 0.000
3.639 2.067 0.000
-1.178 2.067 3.455
2.461 0.000 3.455
1.197 2.067 1.662
0.021 0.000 5.226
4.901 0.000 1.684
3.725 2.067 5.249
```

Properties
formation energy from raw total energies: -1.819 eV per atom
E: -5.93 eV/atom
V: 26.0 Å³/atom